(1)
Tb3Sc | GGA-PBEsol | relaxed

POSCAR file:
```
Tb3Sc
1.0
-2.4247 2.4247 4.7940
2.4247 -2.4247 4.7940
2.4247 2.4247 -4.7940
Tb Sc
3 1
Direct
0.0000 0.0000 0.0000
0.2500 0.7500 0.5000
0.7500 0.2500 0.5000
0.5000 0.5000 0.0000
```

Output
- DFT formation energy: 33 meV per atom
- Relative energy among the computed polymorphs: 2 meV per atom
- Magnetic moment: 0.00 μB per cell

(2)
Al2Pt2Au | GGA-PBEsol | relaxed

POSCAR file:
```
Al2Pt2Au
1.0
7.3460 0.0000 0.0000
0.0000 7.3460 0.0000
0.0000 0.0000 2.8113
Al Pt Au
4 4 2
Direct
0.1568 0.3432 0.0000
0.3432 0.8432 0.0000
0.6568 0.1568 0.0000
0.8432 0.6568 0.0000
0.1407 0.6407 0.5000
0.3593 0.1407 0.5000
0.6407 0.8593 0.5000
0.8593 0.3593 0.5000
0.0000 0.0000 0.5000
0.5000 0.5000 0.5000
```

Output
- DFT formation energy: -807 meV per atom
- Magnetic moment: 0.00 μB per cell

(3)
LaNbTeO6 | GGA-PBEsol | relaxed

POSCAR file:
```
LaNbTeO6
1.0
6.7319 0.0000 0.0000
0.0091 7.4261 0.0000
2.4008 1.9396 10.2810
La Nb Te O
4 4 4 24
Direct
0.1687 0.2155 0.1572
0.2611 0.3612 0.4948
0.7389 0.6388 0.5052
0.8313 0.7845 0.8428
0.3164 0.0465 0.8024
0.3245 0.5403 0.7999
0.6755 0.4597 0.2001
0.6836 0.9535 0.1976
0.1779 0.7033 0.1996
0.2383 0.8734 0.4938
0.7617 0.1266 0.5062
0.8221 0.2967 0.8004
0.0014 0.1008 0.7906
0.0054 0.4819 0.8173
0.0365 0.1744 0.4051
0.1092 0.6326 0.3861
0.2127 0.7864 0.8190
0.2584 0.0669 0.9722
0.3167 0.4432 0.9673
0.3228 0.0464 0.5888
0.3498 0.6504 0.5736
0.3597 0.3164 0.7168
0.3886 0.3915 0.2582
0.4033 0.9933 0.2242
0.5967 0.0067 0.7758
0.6114 0.6085 0.7418
0.6403 0.6836 0.2832
0.6502 0.3496 0.4264
0.6772 0.9536 0.4112
0.6833 0.5568 0.0327
0.7416 0.9331 0.0278
0.7873 0.2136 0.1810
0.8908 0.3674 0.6139
0.9635 0.8256 0.5949
0.9946 0.5181 0.1827
0.9986 0.8992 0.2094
```

Output
- Magnetic moment: 0.00 μB per cell
- DFT total energy: -8.10 eV/atom

(4)
LiFe5O8 | GGA-PBEsol | relaxed

POSCAR file:
```
LiFe5O8
1.0
8.0471 0.0000 0.0000
0.0000 8.0471 0.0000
0.0000 0.0000 8.0471
Li Fe O
4 20 32
Direct
0.1250 0.1250 0.1250
0.3750 0.8750 0.6250
0.6250 0.3750 0.8750
0.8750 0.6250 0.3750
0.0062 0.9938 0.4938
0.1196 0.8696 0.8750
0.1250 0.6196 0.6304
0.1304 0.3750 0.3804
0.2438 0.7562 0.2562
0.2562 0.2438 0.7562
0.3696 0.6250 0.8804
0.3750 0.3804 0.1304
0.3804 0.1304 0.3750
0.4938 0.0062 0.9938
0.5062 0.5062 0.5062
0.6196 0.6304 0.1250
0.6250 0.8804 0.3696
0.6304 0.1250 0.6196
0.7438 0.7438 0.7438
0.7562 0.2562 0.2438
0.8696 0.8750 0.1196
0.8750 0.1196 0.8696
0.8804 0.3696 0.6250
0.9938 0.4938 0.0062
0.1019 0.8716 0.1108
0.1108 0.1019 0.8716
0.1201 0.3799 0.6201
0.1216 0.8519 0.6392
0.1284 0.6108 0.3981
0.1299 0.6299 0.8701
0.1392 0.3784 0.1481
0.1481 0.1392 0.3784
0.3519 0.8608 0.8784
0.3608 0.6216 0.6481
0.3701 0.3701 0.3701
0.3716 0.3892 0.8981
0.3784 0.1481 0.1392
0.3799 0.6201 0.1201
0.3892 0.8981 0.3716
0.3981 0.1284 0.6108
0.6019 0.6284 0.8892
0.6108 0.3981 0.1284
0.6201 0.1201 0.3799
0.6216 0.6481 0.3608
0.6284 0.8892 0.6019
0.6299 0.8701 0.1299
0.6392 0.1216 0.8519
0.6481 0.3608 0.6216
0.8519 0.6392 0.1216
0.8608 0.8784 0.3519
0.8701 0.1299 0.6299
0.8716 0.1108 0.1019
0.8784 0.3519 0.8608
0.8799 0.8799 0.8799
0.8892 0.6019 0.6284
0.8981 0.3716 0.3892
```

Output
- Magnetic moment: 52.04 μB per cell
- DFT total energy: -7.68 eV/atom

(5)
LiIn2Hg | GGA-PBEsol | relaxed

POSCAR file:
```
LiIn2Hg
1.0
0.0000 3.5388 3.5388
3.5388 0.0000 3.5388
3.5388 3.5388 0.0000
Li In Hg
1 2 1
Direct
0.0000 0.0000 0.0000
0.5000 0.5000 0.5000
0.7500 0.7500 0.7500
0.2500 0.2500 0.2500
```

Output
- DFT formation energy: -171 meV per atom
- Magnetic moment: 0.00 μB per cell

(6)
KY2Fe2 | GGA-PBEsol | relaxed

POSCAR file:
```
KY2Fe2
1.0
-1.7140 1.7140 11.5539
1.7140 -1.7140 11.5539
1.7140 1.7140 -11.5539
K Y Fe
1 2 2
Direct
0.0000 0.0000 0.0000
0.3454 0.3454 0.0000
0.6546 0.6546 0.0000
0.2500 0.7500 0.5000
0.7500 0.2500 0.5000
```

Output
- DFT formation energy: 392 meV per atom
- Magnetic moment: 4.01 μB per cell

(7)
SrCaB5H2ClO10 | GGA-PBEsol | relaxed

POSCAR file:
```
SrCaB5H2ClO10
1.0
6.3613 0.0000 0.0000
3.1250 5.6425 0.0000
3.1629 -0.0141 5.7722
Sr Ca B H Cl O
1 1 5 2 1 10
Direct
0.0000 0.0000 0.0000
0.6946 0.4929 0.4626
0.2138 0.3782 0.4521
0.3457 0.9681 0.3451
0.5554 0.9218 0.8942
0.5935 0.0486 0.4939
0.9979 0.8164 0.5561
0.1475 0.3836 0.0130
0.9058 0.5622 0.9540
0.4964 0.4267 0.9282
0.0171 0.6036 0.4871
0.1499 0.2167 0.4207
0.2470 0.8063 0.5149
0.3721 0.9367 0.1180
0.4478 0.3080 0.4645
0.4538 0.9822 0.7339
0.6050 0.9156 0.3306
0.8271 0.8361 0.8212
0.8543 0.0165 0.4433
0.9631 0.4162 0.0472
```

Output
- Magnetic moment: 0.00 μB per cell
- DFT total energy: -7.45 eV/atom

(8)
K2LiMn | GGA-PBEsol | relaxed

POSCAR file:
```
K2LiMn
1.0
1.8494 1.0678 12.2540
-1.8494 1.0678 12.2540
0.0000 -2.1356 12.2540
K Li Mn
2 1 1
Direct
0.2457 0.2457 0.2457
0.7543 0.7543 0.7543
0.0000 0.0000 0.0000
0.5000 0.5000 0.5000
```

Output
- DFT formation energy: 825 meV per atom
- Relative energy among the computed polymorphs: 23 meV per atom
- Magnetic moment: 4.45 μB per cell

(9)
SmSn3Ru | GGA-PBEsol | relaxed

POSCAR file:
```
SmSn3Ru
1.0
9.6187 0.0000 0.0000
0.0000 9.6187 0.0000
0.0000 0.0000 9.6187
Sm Sn Ru
8 24 8
Direct
0.0000 0.0000 0.0000
0.0000 0.2500 0.5000
0.0000 0.7500 0.5000
0.2500 0.5000 0.0000
0.5000 0.0000 0.2500
0.5000 0.0000 0.7500
0.5000 0.5000 0.5000
0.7500 0.5000 0.0000
0.0000 0.3141 0.1550
0.0000 0.3141 0.8450
0.0000 0.6859 0.1550
0.0000 0.6859 0.8450
0.1550 0.0000 0.3141
0.1550 0.0000 0.6859
0.1859 0.5000 0.3450
0.1859 0.5000 0.6550
0.3141 0.1550 0.0000
0.3141 0.8450 0.0000
0.3450 0.1859 0.5000
0.3450 0.8141 0.5000
0.5000 0.3450 0.1859
0.5000 0.3450 0.8141
0.5000 0.6550 0.1859
0.5000 0.6550 0.8141
0.6550 0.1859 0.5000
0.6550 0.8141 0.5000
0.6859 0.1550 0.0000
0.6859 0.8450 0.0000
0.8141 0.5000 0.3450
0.8141 0.5000 0.6550
0.8450 0.0000 0.3141
0.8450 0.0000 0.6859
0.2500 0.2500 0.2500
0.2500 0.2500 0.7500
0.2500 0.7500 0.2500
0.2500 0.7500 0.7500
0.7500 0.2500 0.2500
0.7500 0.2500 0.7500
0.7500 0.7500 0.2500
0.7500 0.7500 0.7500
```

Output
- DFT formation energy: -513 meV per atom
- Magnetic moment: 0.00 μB per cell

(10)
BaCaSi | GGA-PBEsol | relaxed

POSCAR file:
```
BaCaSi
1.0
0.0000 3.6144 3.6144
3.6144 0.0000 3.6144
3.6144 3.6144 0.0000
Ba Ca Si
1 1 1
Direct
0.0000 0.0000 0.0000
0.2500 0.2500 0.2500
0.5000 0.5000 0.5000
```

Output
- Relative energy among the computed polymorphs: 470 meV per atom
- Magnetic moment: 0.00 μB per cell

(11)
Zr5Rh3 | GGA-PBEsol | relaxed

POSCAR file:
```
Zr5Rh3
1.0
-5.1956 5.1956 2.7482
5.1956 -5.1956 2.7482
5.1956 5.1956 -2.7482
Zr Rh
10 6
Direct
0.0785 0.7837 0.8622
0.2163 0.0785 0.2949
0.2500 0.7500 0.5000
0.2837 0.5785 0.8622
0.4215 0.2837 0.7051
0.5785 0.7163 0.2949
0.7163 0.4215 0.1378
0.7500 0.2500 0.5000
0.7837 0.9215 0.7051
0.9215 0.2163 0.1378
0.1685 0.3315 0.5000
0.2500 0.2500 0.0000
0.3315 0.8315 0.1630
0.6685 0.1685 0.8370
0.7500 0.7500 0.0000
0.8315 0.6685 0.5000
```

Output
- DFT formation energy: -588 meV per atom
- Relative energy among the computed polymorphs: 23 meV per atom
- Magnetic moment: 0.00 μB per cell

(12)
KBaTa2 | GGA-PBEsol | relaxed

POSCAR file:
```
KBaTa2
1.0
0.0000 3.7078 3.7078
3.7078 0.0000 3.7078
3.7078 3.7078 0.0000
K Ba Ta
1 1 2
Direct
0.0000 0.0000 0.0000
0.5000 0.5000 0.5000
0.2500 0.2500 0.2500
0.7500 0.7500 0.7500
```

Output
- DFT formation energy: 2205 meV per atom
- Relative energy among the computed polymorphs: 1269 meV per atom
- Magnetic moment: 0.00 μB per cell

(13)
Li3Ca5 | GGA-PBEsol | relaxed

POSCAR file:
```
Li3Ca5
1.0
4.3248 -5.6349 0.0000
4.3248 5.6349 0.0000
0.0000 0.0000 5.5149
Li Ca
3 5
Direct
0.0000 0.0000 0.0000
0.2663 0.7337 0.5000
0.7337 0.2663 0.5000
0.0000 0.5000 0.0000
0.2244 0.2244 0.5000
0.5000 0.0000 0.0000
0.5000 0.5000 0.0000
0.7756 0.7756 0.5000
```

Output
- DFT formation energy: 44 meV per atom
- Relative energy among the computed polymorphs: 5 meV per atom
- Magnetic moment: 0.00 μB per cell

(14)
CaB6H8O14 | GGA-PBEsol | relaxed

POSCAR file:
```
CaB6H8O14
1.0
9.8837 0.0000 0.0000
0.0000 7.8076 0.0000
-5.3677 0.0000 13.4733
Ca B H O
4 24 32 56
Direct
0.2177 0.0592 0.1895
0.2177 0.4408 0.6895
0.7823 0.5592 0.3105
0.7823 0.9408 0.8105
0.0188 0.1010 0.7540
0.0188 0.3990 0.2540
0.1599 0.6635 0.3227
0.1599 0.8365 0.8227
0.2353 0.0501 0.7116
0.2353 0.4499 0.2116
0.3772 0.7483 0.9713
0.3772 0.7517 0.4713
0.4240 0.6613 0.3244
0.4240 0.8387 0.8244
0.4907 0.1131 0.7626
0.4907 0.3869 0.2626
0.5093 0.6131 0.7374
0.5093 0.8869 0.2374
0.5760 0.1613 0.1756
0.5760 0.3387 0.6756
0.6228 0.2483 0.5287
0.6228 0.2517 0.0287
0.7647 0.5501 0.7884
0.7647 0.9499 0.2884
0.8401 0.1635 0.1773
0.8401 0.3365 0.6773
0.9812 0.6010 0.7460
0.9812 0.8990 0.2460
0.0600 0.1913 0.9859
0.0600 0.3087 0.4859
0.1455 0.7251 0.0916
0.1455 0.7749 0.5916
0.1468 0.6602 0.5040
0.1468 0.8398 0.0040
0.1820 0.0566 0.5674
0.1820 0.4434 0.0674
0.2260 0.2122 0.9903
0.2260 0.2878 0.4903
0.2629 0.0017 0.3975
0.2629 0.4983 0.8975
0.3554 0.6263 0.0892
0.3554 0.8737 0.5892
0.3903 0.1263 0.3961
0.3903 0.3737 0.8961
0.6097 0.6263 0.1039
0.6097 0.8737 0.6039
0.6446 0.1263 0.4108
0.6446 0.3737 0.9108
0.7371 0.5017 0.1025
0.7371 0.9983 0.6025
0.7740 0.7122 0.5097
0.7740 0.7878 0.0097
0.8180 0.5566 0.9326
0.8180 0.9434 0.4326
0.8532 0.1602 0.9960
0.8532 0.3398 0.4960
0.8545 0.2251 0.4084
0.8545 0.2749 0.9084
0.9400 0.6913 0.5141
0.9400 0.8087 0.0141
0.0452 0.5406 0.3151
0.0452 0.9594 0.8151
0.1049 0.6904 0.7559
0.1049 0.8096 0.2559
0.1058 0.1456 0.7037
0.1058 0.3544 0.2037
0.1136 0.6564 0.5616
0.1136 0.8436 0.0616
0.1642 0.2224 0.0296
0.1642 0.2776 0.5296
0.2149 0.5385 0.1171
0.2149 0.9615 0.6171
0.2287 0.7236 0.4257
0.2287 0.7764 0.9257
0.2751 0.5757 0.2949
0.2751 0.9243 0.7949
0.2822 0.1052 0.3663
0.2822 0.3948 0.8663
0.3518 0.1750 0.7315
0.3518 0.3250 0.2315
0.3998 0.6917 0.7569
0.3998 0.8083 0.2569
0.4304 0.6717 0.0637
0.4304 0.8283 0.5637
0.4721 0.0407 0.1885
0.4721 0.4593 0.6885
0.4723 0.7150 0.4267
0.4723 0.7850 0.9267
0.5277 0.2150 0.0733
0.5277 0.2850 0.5733
0.5279 0.5407 0.3115
0.5279 0.9593 0.8115
0.5696 0.1717 0.4363
0.5696 0.3283 0.9363
0.6002 0.1917 0.7431
0.6002 0.3083 0.2431
0.6482 0.6750 0.7685
0.6482 0.8250 0.2685
0.7178 0.6052 0.1337
0.7178 0.8948 0.6337
0.7249 0.0757 0.2051
0.7249 0.4243 0.7051
0.7713 0.2236 0.0743
0.7713 0.2764 0.5743
0.7851 0.0385 0.3829
0.7851 0.4615 0.8829
0.8358 0.7224 0.4704
0.8358 0.7776 0.9704
0.8864 0.1564 0.9384
0.8864 0.3436 0.4384
0.8942 0.6456 0.7963
0.8942 0.8544 0.2963
0.8951 0.1904 0.7441
0.8951 0.3096 0.2441
0.9548 0.0406 0.1849
0.9548 0.4594 0.6849
```

Output
- Magnetic moment: 0.00 μB per cell
- DFT total energy: -6.94 eV/atom